Below is a relaxed LiZrHg3Te4 crystal, with properties calculated at the PBE-GGA level.

Calculated values
The value obtained for the excess energy over the best structure of this formula in the dataset is 0.164 eV per atom. For the magnetic moment, the calculation gives 0.03 μB/cell. The energy is -2.846 eV/atom. Its space-group type is P-43m (215).

a = 7.1163 Å, b = 7.1163 Å, c = 7.1163 Å
α = 90.00°, β = 90.00°, γ = 90.00°
Sites, in units of the cell vectors:
1 Li 0.0000 0.0000 0.0000
2 Zr 0.5000 0.5000 0.5000
3 Hg 0.0000 0.5000 0.5000
4 Hg 0.5000 0.0000 0.5000
5 Hg 0.5000 0.5000 0.0000
6 Te 0.2701 0.2701 0.2701
7 Te 0.2701 0.7299 0.7299
8 Te 0.7299 0.2701 0.7299
9 Te 0.7299 0.7299 0.2701

Below is a relaxed LiZrHg3Te4 crystal, with properties calculated at the PBE-GGA level.

Calculated values
The value obtained for the excess energy over the best structure of this formula in the dataset is 0.000 eV per atom. For the magnetic moment, the calculation gives 0.00 μB/cell. The energy is -3.010 eV/atom. Its space-group type is P2_1/m (11).

a = 7.1519 Å, b = 8.7010 Å, c = 10.1703 Å
α = 90.00°, β = 98.91°, γ = 90.00°
Sites, in units of the cell vectors:
1 Li 0.1222 0.2500 0.3254
2 Li 0.8778 0.7500 0.6746
3 Zr 0.1394 0.7500 0.1898
4 Zr 0.8606 0.2500 0.8102
5 Hg 0.2206 0.0797 0.9411
6 Hg 0.2206 0.4203 0.9411
7 Hg 0.4056 0.2500 0.6735
8 Hg 0.5944 0.7500 0.3265
9 Hg 0.7794 0.5797 0.0589
10 Hg 0.7794 0.9203 0.0589
11 Te 0.0295 0.2500 0.5761
12 Te 0.1510 0.7500 0.9024
13 Te 0.3682 0.0119 0.2450
14 Te 0.3682 0.4881 0.2450
15 Te 0.6318 0.5119 0.7550
16 Te 0.6318 0.9881 0.7550
17 Te 0.8490 0.2500 0.0976
18 Te 0.9705 0.7500 0.4239

Below is a relaxed Li3TlHg2 crystal, with properties calculated at the PBE-GGA level.

Calculated values
The energy is -1.773 eV/atom. Its space-group type is P4/mmm (123).

a = 3.3529 Å, b = 3.3529 Å, c = 10.1118 Å
α = 90.00°, β = 90.00°, γ = 90.00°
Sites, in units of the cell vectors:
1 Li 0.0000 0.0000 0.0000
2 Li 0.0000 0.0000 0.3178
3 Li 0.0000 0.0000 0.6822
4 Tl 0.5000 0.5000 0.5000
5 Hg 0.5000 0.5000 0.1611
6 Hg 0.5000 0.5000 0.8389